(1)
The following is a DFT calculation (GGA-PBE) of crystalline LaDyN at its relaxed geometry.

The structure in extended XYZ format:
```
12
Lattice="6.1946 0.0000 0.0000 0.0000 6.1946 0.0000 0.0000 0.0000 6.1946" Properties=species:S:1:pos:R:3 pbc="T T T"
La 0.0000 0.0000 0.0000
La 0.0000 3.0973 3.0973
La 3.0973 0.0000 3.0973
La 3.0973 3.0973 0.0000
Dy 0.0000 0.0000 3.0973
Dy 0.0000 3.0973 0.0000
Dy 3.0973 0.0000 0.0000
Dy 3.0973 3.0973 3.0973
N 1.5486 1.5486 4.6459
N 1.5486 4.6459 1.5486
N 4.6459 1.5486 1.5486
N 4.6459 4.6459 4.6459
```

Energy relative to the lowest polymorph listed for this composition (eV per atom): 0.617
Uncorrected formation energy (eV per atom): -0.330
Symmetry: F-43m

***

(2)
The following is a DFT calculation (GGA-PBE) of crystalline CaAcAl4 at its relaxed geometry.

The structure in extended XYZ format:
```
6
Lattice="0.0000 4.1029 4.1029 4.1029 0.0000 4.1029 4.1029 4.1029 0.0000" Properties=species:S:1:pos:R:3 pbc="T T T"
Ca 0.0000 0.0000 0.0000
Ac 2.0514 2.0514 2.0514
Al 5.1286 3.0771 3.0771
Al 3.0771 5.1286 3.0771
Al 3.0771 3.0771 5.1286
Al 5.1286 5.1286 5.1286
```

Energy relative to the lowest polymorph listed for this composition (eV per atom): 0.000
Formation enthalpy at 0 K (kcal/mol of atoms): -7.51
Symmetry: F-43m

***

(3)
The following is a DFT calculation (GGA-PBE) of crystalline AlInS2 at its relaxed geometry.

The structure in extended XYZ format:
```
16
Lattice="6.9114 0.0000 0.0000 0.0000 6.9114 0.0000 0.0000 0.0000 8.4668" Properties=species:S:1:pos:R:3 pbc="T T T"
Al 0.0000 0.0000 0.0000
Al 0.0000 3.4557 2.1167
Al 3.4557 0.0000 6.3501
Al 3.4557 3.4557 4.2334
In 0.0000 0.0000 4.2334
In 0.0000 3.4557 6.3501
In 3.4557 0.0000 2.1167
In 3.4557 3.4557 0.0000
S 1.0330 5.1836 1.0584
S 1.7279 1.0330 7.4085
S 1.7279 2.4227 3.1751
S 2.4227 5.1836 5.2918
S 4.4888 1.7279 5.2918
S 5.1836 4.4888 3.1751
S 5.1836 5.8784 7.4085
S 5.8784 1.7279 1.0584
```

Uncorrected formation energy (eV per atom): -0.743
Symmetry: I-42d

***

no.,V (A^3/atom),raw total energy (eV per cell)
1,19.808,-75.4
2,23.022,-23.0
3,25.278,-70.8